VASP calculation (PBE-GGA) on a relaxed structure of Rb2CuMoCl6.

extended XYZ file:
```
10
Lattice="0.000 4.988 4.988 4.988 0.000 4.988 4.988 4.988 0.000" Properties=species:S:1:pos:R:3 pbc="T T T"
Rb 2.494 2.494 2.494
Rb 7.483 7.483 7.483
Cu 0.000 0.000 0.000
Mo 4.988 4.988 4.988
Cl 4.988 4.988 2.519
Cl 4.988 2.519 4.988
Cl 7.458 4.988 4.988
Cl 2.519 4.988 4.988
Cl 4.988 7.458 4.988
Cl 4.988 4.988 7.458
```

Computed properties:
- Total magnetic moment: 3.0 Bohr magnetons per cell
- Space-group type: Fm-3m
- Crystal system: cubic
- E_tot: -3.947 eV per atom